Material: K4AuS2
Method: DFT, GGA-PBE
State: optimized geometry

```
K4AuS2
1.0
-1.182 4.614 -2.698
-4.024 0.047 -3.711
-7.833 3.873 4.504
K Au S
4 1 2
Direct
0.792 0.792 0.623 K
0.613 0.613 0.160 K
0.387 0.387 0.840 K
0.208 0.208 0.377 K
0.000 0.000 0.000 Au
0.086 0.086 0.741 S
0.914 0.914 0.259 S
```

Computed properties:
E_tot, eV/atom: -3.03
DOS(E_F), states/eV/f.u.: 2.9
Raw formation energy, kcal/mol of atoms: -17.4